An optimized crystal structure of Pm3DyErTm. Source: Alexandria via LeMat-Bulk, functional GGA-PBE.

The structure in POSCAR format:
```
Pm3DyErTm
1.0
8.001 0.000 0.000
0.000 5.078 0.000
-3.217 0.000 9.596
Pm Dy Er Tm
6 2 2 2
Direct
0.168 0.250 0.043 Pm
0.169 0.250 0.542 Pm
0.170 0.750 0.792 Pm
0.830 0.250 0.208 Pm
0.831 0.750 0.458 Pm
0.832 0.750 0.957 Pm
0.171 0.750 0.293 Dy
0.829 0.250 0.707 Dy
0.498 0.750 0.126 Er
0.502 0.250 0.874 Er
0.499 0.250 0.376 Tm
0.501 0.750 0.624 Tm
```

- DFT formation energy (eV per atom) = 0.023
- Fermi-level density of states (states/eV/cell) = 17.0
- calculated total energy (eV/atom) = -4.63